A plane-wave DFT calculation with GGA-PBE was carried out for crystalline TbY3Th2 at its relaxed geometry.

It has space group P2_1/m (No. 11), with a = 10.086 Å, b = 3.583 Å, c = 10.694 Å, α = 90.00°, β = 90.07° and γ = 90.00°. The inequivalent atoms are Tb at (0.124, 0.250, 0.250), Y at (0.132, 0.250, 0.918), Y at (0.367, 0.750, 0.417), Y at (0.376, 0.750, 0.750), Th at (0.121, 0.250, 0.582) and Th at (0.378, 0.750, 0.082).

For the energy above the most stable polymorph in this dataset, the calculation gives 0 meV per atom. The value obtained for the magnetization is 0.0 μB/f.u. For the density of states at the Fermi level, the calculation gives 1.30 states/eV/atom. As for the formation energy: 30 meV/atom. As for the final energy: -6.45 eV per atom.